SCAN La2YCCl, single point on PBEsol structure; symmetry = P4/mmm, No. 123; VASP energy = -25.947 eV/atom; energy relative to the elements, uncorrected = 0.479 eV per atom
1.0
5.7596 0.0000 0.0000
0.0000 5.7596 0.0000
0.0000 0.0000 4.2789
La Y C Cl
2 1 1 1
direct
0.0000 0.5000 0.0000
0.5000 0.0000 0.0000
0.0000 0.0000 0.0000
0.0000 0.0000 0.5000
0.5000 0.5000 0.5000


SCAN LiCSCl2, single point on PBEsol structure; symmetry = P4/mmm, No. 123; VASP energy = -7.251 eV/atom; energy relative to the elements, uncorrected = 0.364 eV per atom
1.0
5.0509 0.0000 0.0000
0.0000 5.0509 0.0000
0.0000 0.0000 3.5325
Li C S Cl
1 1 1 2
direct
0.0000 0.0000 0.0000
0.5000 0.5000 0.5000
0.5000 0.5000 0.0000
0.0000 0.5000 0.5000
0.5000 0.0000 0.5000


SCAN Lu2CCl2, single point on PBEsol structure; symmetry = R-3m, No. 166; VASP energy = -29.162 eV/atom; energy relative to the elements, uncorrected = -1.813 eV per atom
1.0
1.7793 1.0273 9.4229
-1.7793 1.0273 9.4229
0.0000 -2.0545 9.4229
Lu C Cl
2 1 2
direct
0.1212 0.1212 0.1212
0.8788 0.8788 0.8788
0.5000 0.5000 0.5000
0.2724 0.2724 0.2724
0.7276 0.7276 0.7276


SCAN Mg2CCl, single point on PBEsol structure; symmetry = Fm-3m, No. 225; VASP energy = -6.529 eV/atom; energy relative to the elements, uncorrected = 0.477 eV per atom
1.0
0.0000 3.0710 3.0710
3.0710 0.0000 3.0710
3.0710 3.0710 0.0000
Mg C Cl
2 1 1
direct
0.2500 0.2500 0.2500
0.7500 0.7500 0.7500
0.0000 0.0000 0.0000
0.5000 0.5000 0.5000


SCAN MgPCCl2, single point on PBEsol structure; symmetry = P4/mmm, No. 123; VASP energy = -7.293 eV/atom; energy relative to the elements, uncorrected = 0.993 eV per atom
1.0
4.5702 0.0000 0.0000
0.0000 4.5702 0.0000
0.0000 0.0000 5.6121
Mg P C Cl
1 1 1 2
direct
0.0000 0.0000 0.0000
0.0000 0.0000 0.5000
0.5000 0.5000 0.5000
0.0000 0.5000 0.0000
0.5000 0.0000 0.0000


SCAN Mg2WCCl, single point on PBEsol structure; symmetry = P4/mmm, No. 123; VASP energy = -17.619 eV/atom; energy relative to the elements, uncorrected = 1.923 eV per atom
1.0
5.3183 0.0000 0.0000
0.0000 5.3183 0.0000
0.0000 0.0000 4.3867
Mg W C Cl
2 1 1 1
direct
0.0000 0.5000 0.0000
0.5000 0.0000 0.0000
0.0000 0.0000 0.0000
0.5000 0.5000 0.5000
0.0000 0.0000 0.5000


SCAN MnTeCCl2, single point on PBEsol structure; symmetry = P4/mmm, No. 123; VASP energy = -15.641 eV/atom; energy relative to the elements, uncorrected = 0.672 eV per atom
1.0
4.3292 0.0000 0.0000
0.0000 4.3292 0.0000
0.0000 0.0000 4.8824
Mn Te C Cl
1 1 1 2
direct
0.0000 0.0000 0.0000
0.5000 0.5000 0.0000
0.5000 0.5000 0.5000
0.0000 0.5000 0.5000
0.5000 0.0000 0.5000


SCAN Mo2CCl, single point on PBEsol structure; symmetry = Fm-3m, No. 225; VASP energy = -20.889 eV/atom; energy relative to the elements, uncorrected = 1.073 eV per atom
1.0
0.0000 2.8513 2.8513
2.8513 0.0000 2.8513
2.8513 2.8513 0.0000
Mo C Cl
2 1 1
direct
0.2500 0.2500 0.2500
0.7500 0.7500 0.7500
0.0000 0.0000 0.0000
0.5000 0.5000 0.5000


SCAN MoC2SeCl, single point on PBEsol structure; symmetry = P4/mmm, No. 123; VASP energy = -13.726 eV/atom; energy relative to the elements, uncorrected = 2.903 eV per atom
1.0
3.6990 0.0000 0.0000
0.0000 3.6990 0.0000
0.0000 0.0000 4.6997
Mo C Se Cl
1 2 1 1
direct
0.0000 0.0000 0.0000
0.0000 0.5000 0.5000
0.5000 0.0000 0.5000
0.5000 0.5000 0.0000
0.5000 0.5000 0.5000


SCAN TiMo2CCl, single point on PBEsol structure; symmetry = P4/mmm, No. 123; VASP energy = -18.806 eV/atom; energy relative to the elements, uncorrected = 1.969 eV per atom
1.0
4.2883 0.0000 0.0000
0.0000 4.2883 0.0000
0.0000 0.0000 4.2888
Ti Mo C Cl
1 2 1 1
direct
0.0000 0.0000 0.0000
0.0000 0.5000 0.5000
0.5000 0.0000 0.5000
0.5000 0.5000 0.0000
0.0000 0.0000 0.5000


SCAN NbC2NCl8, single point on PBEsol structure; symmetry = Cmc2_1, No. 36; VASP energy = -11.164 eV/atom; energy relative to the elements, uncorrected = -0.627 eV per atom
1.0
4.1346 -4.6323 0.0000
4.1346 4.6323 0.0000
0.0000 0.0000 16.6470
Nb C N Cl
2 4 2 16
direct
0.0934 0.9066 0.5000
0.9066 0.0934 0.0000
0.3388 0.6612 0.3437
0.4285 0.5715 0.2717
0.5715 0.4285 0.7717
0.6612 0.3388 0.8437
0.2634 0.7366 0.3993
0.7366 0.2634 0.8993
0.0610 0.9390 0.8883
0.0798 0.9202 0.0967
0.1609 0.3969 0.9870
0.2097 0.4387 0.2164
0.2952 0.7048 0.5841
0.3892 0.6108 0.8016
0.3969 0.1609 0.4870
0.4387 0.2097 0.7164
0.5613 0.7903 0.2164
0.6031 0.8391 0.9870
0.6108 0.3892 0.3016
0.7048 0.2952 0.0841
0.7903 0.5613 0.7164
0.8391 0.6031 0.4870
0.9202 0.0798 0.5967
0.9390 0.0610 0.3883


SCAN SbCNCl4O, single point on PBEsol structure; symmetry = P6_3/m, No. 176; VASP energy = -12.515 eV/atom; energy relative to the elements, uncorrected = -0.665 eV per atom
1.0
11.7620 0.0000 0.0000
-5.8810 10.1862 0.0000
0.0000 0.0000 10.4529
Sb C N Cl O
6 6 6 24 6
direct
0.0411 0.6765 0.2500
0.3235 0.3646 0.2500
0.3646 0.0411 0.7500
0.6354 0.9589 0.2500
0.6765 0.6354 0.7500
0.9589 0.3235 0.7500
0.2428 0.5377 0.2500
0.2949 0.7572 0.2500
0.4623 0.7051 0.2500
0.5377 0.2949 0.7500
0.7051 0.2428 0.7500
0.7572 0.4623 0.7500
0.2033 0.6265 0.2500
0.3735 0.5768 0.2500
0.4232 0.7967 0.2500
0.5768 0.2033 0.7500
0.6265 0.4232 0.7500
0.7967 0.3735 0.7500
0.0503 0.1887 0.7500
0.0628 0.6836 0.0272
0.0628 0.6836 0.4728
0.1363 0.5364 0.7500
0.1384 0.9497 0.7500
0.1887 0.1384 0.2500
0.3164 0.3792 0.0272
0.3164 0.3792 0.4728
0.3792 0.0628 0.5272
0.3792 0.0628 0.9728
0.4001 0.8637 0.7500
0.4636 0.5999 0.7500
0.5364 0.4001 0.2500
0.5999 0.1363 0.2500
0.6208 0.9372 0.0272
0.6208 0.9372 0.4728
0.6836 0.6208 0.5272
0.6836 0.6208 0.9728
0.8113 0.8616 0.7500
0.8616 0.0503 0.2500
0.8637 0.4636 0.2500
0.9372 0.3164 0.5272
0.9372 0.3164 0.9728
0.9497 0.8113 0.2500
0.1667 0.4135 0.2500
0.2468 0.8333 0.2500
0.4135 0.2468 0.7500
0.5865 0.7532 0.2500
0.7532 0.1667 0.7500
0.8333 0.5865 0.7500